Record 1
This record from Alexandria describes a relaxed structure of Ce2Pm5Si4. The functional is PBE-GGA.

Cell: 3.364 6.944 27.135 Å, 90.00 90.00 90.00°
Space group Immm (No. 71)
Inequivalent atoms, fractional coordinates:
Ce  0.000  0.000  0.217 (multiplicity 4)
Pm  0.000  0.253  0.108 (multiplicity 8)
Pm  0.000  0.500  0.500 (multiplicity 2)
Si  0.000  0.000  0.323 (multiplicity 4)
Si  0.000  0.337  0.000 (multiplicity 4)

Calculated values
The calculation puts the energy relative to the elements, uncorrected at 0.725 eV/f.u. For the volume, the calculation gives 28.809 A^3/atom. The raw total energy comes out at -5.1444 eV per atom. As for the magnetization: 8.02 μB per cell.

---

Record 2
This record from Alexandria describes a relaxed structure of Ce2PmSi. The functional is PBE-GGA.

Cell: 3.7352 3.7352 30.5038 Å, 90.00 90.00 120.00°
Space group R-3m (No. 166, hexagonal axes)
Inequivalent atoms, fractional coordinates:
Ce  0.0000  0.0000  0.1066 (multiplicity 6)
Pm  0.0000  0.0000  0.0000 (multiplicity 3)
Si  0.0000  0.0000  0.5000 (multiplicity 3)

Calculated values
The calculation puts the energy relative to the elements, uncorrected at 0.266 eV/f.u. For the volume, the calculation gives 30.714 A^3/atom. The raw total energy comes out at -5.4437 eV per atom. As for the magnetization: 4.64 μB per cell. For the distance to the lowest polymorph of the same formula, the calculation gives 455.4 meV/atom.

---

Record 3
This record from Alexandria describes a relaxed structure of Ce4PmSi4. The functional is PBE-GGA.

Cell: 8.762 8.762 6.041 Å, 90.00 90.00 90.00°
Space group P4_2/n (No. 86, origin choice 2)
Inequivalent atoms, fractional coordinates:
Ce  0.058  0.640  0.090 (multiplicity 8)
Pm  0.250  0.250  0.250 (multiplicity 2)
Si  0.029  0.619  0.591 (multiplicity 8)

Calculated values
The calculation puts the energy relative to the elements, uncorrected at -3.513 eV/f.u. For the volume, the calculation gives 25.769 A^3/atom. The raw total energy comes out at -5.9657 eV per atom. As for the magnetization: 6.07 μB per cell.

---

Please write out number 1 again, unchanged.
This record from Alexandria describes a relaxed structure of Ce2Pm5Si4. The functional is PBE-GGA.

Cell: 3.364 6.944 27.135 Å, 90.00 90.00 90.00°
Space group Immm (No. 71)
Inequivalent atoms, fractional coordinates:
Ce  0.000  0.000  0.217 (multiplicity 4)
Pm  0.000  0.253  0.108 (multiplicity 8)
Pm  0.000  0.500  0.500 (multiplicity 2)
Si  0.000  0.000  0.323 (multiplicity 4)
Si  0.000  0.337  0.000 (multiplicity 4)

Calculated values
The calculation puts the energy relative to the elements, uncorrected at 0.725 eV/f.u. For the volume, the calculation gives 28.809 A^3/atom. The raw total energy comes out at -5.1444 eV per atom. As for the magnetization: 8.02 μB per cell.

---

Question: Among the records above, which one has the highest raw total energy?
Answer: Ce2Pm5Si4